# 1
A relaxed BaNp2HO5 crystal, computed with PBE.

## Properties
Space-group type   P4/mmm, No. 123
V   161.5 Å³ per cell
VASP energy   -8.77 eV per atom

Lattice parameters (Å, degrees): 4.2844 4.2844 8.7962 90.00 90.00 90.00
Closest atoms and distances in Å follow each position.
Fractional positions:
Ba (0.0000, 0.0000, 0.0000)  12 O 2.93-3.03
Np (0.5000, 0.5000, 0.2511)  5 O 2.15-2.21, 1 H 2.19
Np (0.5000, 0.5000, 0.7489)  5 O 2.15-2.21, 1 H 2.19
H (0.5000, 0.5000, 0.5000)  2 Np 2.19
O (0.0000, 0.5000, 0.2277)  2 Np 2.15
O (0.0000, 0.5000, 0.7723)  2 Np 2.15
O (0.5000, 0.0000, 0.2277)  2 Np 2.15
O (0.5000, 0.0000, 0.7723)  2 Np 2.15
O (0.5000, 0.5000, 0.0000)  2 Np 2.21



# 2
A relaxed BaNpH3O6 crystal, computed with PBE.

## Properties
Space-group type   P-1, No. 2
V   300.8 Å³ per cell
VASP energy   -7.05 eV per atom

Lattice parameters (Å, degrees): 6.9725 7.0859 7.3665 90.08 114.35 112.50
Closest atoms and distances in Å follow each position.
Fractional positions:
Ba (0.1990, 0.0308, 0.3288)  8 O 2.68-2.92
Ba (0.8010, 0.9692, 0.6712)  8 O 2.68-2.92
Np (0.0000, 0.5000, 0.5000)  4 O 1.91-1.92
Np (0.5000, 0.0000, 0.0000)  4 O 1.90-1.91
H (0.2790, 0.5506, 0.9401)  1 O 0.99
H (0.3242, 0.5218, 0.2617)  1 O 0.99
H (0.4710, 0.4334, 0.1910)  1 O 0.99
H (0.5290, 0.5666, 0.8090)  1 O 0.99
H (0.6758, 0.4782, 0.7383)  1 O 0.99
H (0.7210, 0.4494, 0.0599)  1 O 0.99
O (0.0716, 0.2632, 0.5178)  1 Np 1.92
O (0.2130, 0.0060, 0.9559)  1 Np 1.91
O (0.2280, 0.6438, 0.4094)  1 H 1.85, 1 Np 1.91
O (0.3028, 0.6387, 0.8404)  1 H 0.99
O (0.3135, 0.4133, 0.1684)  2 H 0.99
O (0.4651, 0.0567, 0.7390)  1 Np 1.90
O (0.5349, 0.9433, 0.2610)  1 Np 1.90
O (0.6865, 0.5867, 0.8316)  2 H 0.99
O (0.6972, 0.3613, 0.1596)  1 H 0.99
O (0.7720, 0.3562, 0.5906)  1 H 1.85, 1 Np 1.91
O (0.7870, 0.9940, 0.0441)  1 Np 1.91
O (0.9284, 0.7368, 0.4822)  1 Np 1.92



# 3
A relaxed Ba4H2O5 crystal, computed with PBE.

## Properties
Space-group type   P-3m1, No. 164
V   212.1 Å³ per cell
VASP energy   -5.70 eV per atom

Lattice parameters (Å, degrees): 4.0345 4.0345 15.0465 90.00 90.00 120.00
Closest atoms and distances in Å follow each position.
Fractional positions:
Ba (0.0000, 0.0000, 0.1803)  6 O 2.69-2.83
Ba (0.0000, 0.0000, 0.8197)  6 O 2.69-2.83
Ba (0.3333, 0.6667, 0.6063)  6 O 2.83
Ba (0.6667, 0.3333, 0.3937)  6 O 2.83
H (0.3333, 0.6667, 0.9735)  1 O 0.97
H (0.6667, 0.3333, 0.0265)  1 O 0.97
O (0.0000, 0.0000, 0.5000)  6 Ba 2.83
O (0.3333, 0.6667, 0.2874)  6 Ba 2.83
O (0.3333, 0.6667, 0.9088)  1 H 0.97
O (0.6667, 0.3333, 0.0912)  1 H 0.97
O (0.6667, 0.3333, 0.7126)  6 Ba 2.83